Record 1
# CsNa2GePt PBE relaxed
# Energy relative to the elements, eV per formula unit: -1.2
# Offset from the most stable computed form, meV/atom: 0.0
# E_tot, eV per atom: -3.0625
data_CsNa2GePt
_chemical_formula_sum 'Cs1 Na2 Ge1 Pt1'
_space_group_name_H-M_alt 'P 4/m m m'
_space_group_IT_number 123
_space_group_name_Hall '-P 4 2'
_cell_length_a 5.7335
_cell_length_b 5.7335
_cell_length_c 4.7591
_cell_angle_alpha 90.00
_cell_angle_beta 90.00
_cell_angle_gamma 90.00
loop_
_atom_site_label
_atom_site_type_symbol
_atom_site_fract_x
_atom_site_fract_y
_atom_site_fract_z
Cs1 Cs 0.0000 0.0000 0.0000
Na1 Na 0.0000 0.5000 0.5000
Ge1 Ge 0.5000 0.5000 0.0000
Pt1 Pt 0.5000 0.5000 0.5000

Record 2
# CsNa2GePt PBE relaxed
# Energy relative to the elements, eV per formula unit: -0.6
# Offset from the most stable computed form, meV/atom: 112.7
# E_tot, eV per atom: -2.9498
data_CsNa2GePt
_chemical_formula_sum 'Cs1 Na2 Ge1 Pt1'
_space_group_name_H-M_alt 'P 4/m m m'
_space_group_IT_number 123
_space_group_name_Hall '-P 4 2'
_cell_length_a 5.7307
_cell_length_b 5.7307
_cell_length_c 4.7831
_cell_angle_alpha 90.00
_cell_angle_beta 90.00
_cell_angle_gamma 90.00
loop_
_atom_site_label
_atom_site_type_symbol
_atom_site_fract_x
_atom_site_fract_y
_atom_site_fract_z
Cs1 Cs 0.0000 0.0000 0.0000
Na1 Na 0.0000 0.5000 0.5000
Ge1 Ge 0.5000 0.5000 0.5000
Pt1 Pt 0.5000 0.5000 0.0000

Record 3
# CsNaGe2Pt PBE relaxed
# Energy relative to the elements, eV per formula unit: 8.7
# E_tot, eV per atom: -1.7433
data_CsNaGe2Pt
_chemical_formula_sum 'Cs1 Na1 Ge2 Pt1'
_space_group_name_H-M_alt 'P 4/m m m'
_space_group_IT_number 123
_space_group_name_Hall '-P 4 2'
_cell_length_a 5.7158
_cell_length_b 5.7158
_cell_length_c 5.4714
_cell_angle_alpha 90.00
_cell_angle_beta 90.00
_cell_angle_gamma 90.00
loop_
_atom_site_label
_atom_site_type_symbol
_atom_site_fract_x
_atom_site_fract_y
_atom_site_fract_z
Cs1 Cs 0.0000 0.0000 0.0000
Na1 Na 0.0000 0.0000 0.5000
Ge1 Ge 0.0000 0.5000 0.0000
Pt1 Pt 0.5000 0.5000 0.5000

Record 4
# CsRbNa2Ge PBE relaxed
# Energy relative to the elements, eV per formula unit: 0.3
# Offset from the most stable computed form, meV/atom: 0.0
# E_tot, eV per atom: -1.7510
data_CsRbNa2Ge
_chemical_formula_sum 'Cs1 Rb1 Na2 Ge1'
_space_group_name_H-M_alt 'P 4/m m m'
_space_group_IT_number 123
_space_group_name_Hall '-P 4 2'
_cell_length_a 6.0361
_cell_length_b 6.0361
_cell_length_c 6.8011
_cell_angle_alpha 90.00
_cell_angle_beta 90.00
_cell_angle_gamma 90.00
loop_
_atom_site_label
_atom_site_type_symbol
_atom_site_fract_x
_atom_site_fract_y
_atom_site_fract_z
Cs1 Cs 0.0000 0.0000 0.0000
Rb1 Rb 0.5000 0.5000 0.0000
Na1 Na 0.0000 0.5000 0.5000
Ge1 Ge 0.5000 0.5000 0.5000